Record 1
DFT (PBE) results for a relaxed structure of Ba2BrClO.

Unit cell a=5.933 b=5.506 c=5.933 alpha=90.00 beta=90.00 gamma=90.00
Atoms (fractional coordinates):
1 O 0.500 0.500 0.500
2 Ba 0.000 0.000 0.500
3 Ba 0.500 0.000 0.000
4 Br 0.000 0.500 0.000
5 Cl 0.000 0.000 0.000

Results
ΔE to the lowest computed polymorph: 155.3 kJ/mol of atoms
Formation energy from raw total energies: -0.830 eV per atom
Electronic total energy: -0.1211 hartree per atom



Record 2
DFT (PBE) results for a relaxed structure of Tm3Si4Ru.

Unit cell a=4.170 b=5.572 c=8.021 alpha=110.32 beta=105.07 gamma=90.00
Atoms (fractional coordinates):
1 Tm 0.195 0.195 0.391
2 Tm 0.805 0.805 0.609
3 Tm 0.000 0.500 0.000
4 Si 0.379 0.588 0.757
5 Si 0.621 0.412 0.243
6 Si 0.621 0.830 0.243
7 Si 0.379 0.170 0.757
8 Ru 0.500 0.000 0.000

Results
Formation energy from raw total energies: -0.539 eV per atom
Electronic total energy: -0.2237 hartree per atom



Record 3
DFT (PBE) results for a relaxed structure of TbDyHg6.

Unit cell a=5.016 b=6.636 c=6.636 alpha=119.24 beta=90.00 gamma=90.00
Atoms (fractional coordinates):
1 Tb 0.500 0.411 0.589
2 Dy 0.000 0.089 0.911
3 Hg 0.000 0.079 0.409
4 Hg 0.000 0.591 0.921
5 Hg 0.000 0.581 0.419
6 Hg 0.500 0.420 0.090
7 Hg 0.500 0.910 0.580
8 Hg 0.500 0.919 0.081

Results
ΔE_f: -0.3485 eV/atom
Electronic total energy: -0.0635 hartree per atom